Entry from Alexandria via LeMat-Bulk: a relaxed structure of K6Rb12Bi (PBE).

a b c (Å): 16.1108 16.1108 19.1918
angles (deg): 90.00 90.00 120.00
With the nearest neighbours (Å) after each atom.
Space group R-3 (No. 148, hexagonal axes)
Unique sites:
1 K 0.0670 0.8629 0.4073  5 K 4.59-5.03, 5 Rb 4.64-4.92
2 Rb 0.0343 0.1721 0.8224  1 Bi 4.25, 5 Rb 4.40-4.59, 1 K 4.64
3 Rb 0.0463 0.4464 0.7062  1 Bi 4.26, 5 Rb 4.45-4.59, 1 K 4.66
4 Bi 0.0000 0.0000 0.0000  12 Rb 4.25-4.26

---

Entry from Alexandria via LeMat-Bulk: a relaxed structure of K2RbBi2 (PBE).

a b c (Å): 10.7942 10.7942 3.5129
angles (deg): 90.00 90.00 90.00
With the nearest neighbours (Å) after each atom.
Space group P4/mbm (No. 127)
Unique sites:
1 K 0.1196 0.3804 0.0000  3 K 3.51-3.65, 6 Bi 3.57-3.71
2 Rb 0.0000 0.0000 0.0000  2 Rb 3.51
3 Bi 0.1771 0.6771 0.5000  2 Bi 3.51, 6 K 3.57-3.71

Computed properties:
Relative energy among the computed polymorphs in meV per atom: 43

---

Entry from Alexandria via LeMat-Bulk: a relaxed structure of KRbBi (PBE).

a b c (Å): 6.2618 6.2618 25.2469
angles (deg): 90.00 90.00 120.00
With the nearest neighbours (Å) after each atom.
Space group R3m (No. 160, hexagonal axes)
Unique sites:
1 K 0.0000 0.0000 0.0000  3 Bi 3.68, 4 Rb 3.96-4.07
2 K 0.0000 0.0000 0.4239  4 Bi 3.62-3.96, 1 Rb 3.90
3 Rb 0.0000 0.0000 0.2693  3 Bi 3.72, 4 K 3.90-3.96
4 Rb 0.0000 0.0000 0.8388  4 Bi 3.68-3.94, 1 K 4.07
5 Bi 0.0000 0.0000 0.5673  1 Bi 3.17
6 Bi 0.0000 0.0000 0.6930  1 Bi 3.17

Computed properties:
Relative energy among the computed polymorphs in meV per atom: 9

---

Entry from Alexandria via LeMat-Bulk: a relaxed structure of KRb2Bi2 (PBE).

a b c (Å): 9.3599 9.3599 5.5883
angles (deg): 90.00 90.00 90.00
With the nearest neighbours (Å) after each atom.
Space group P4/mbm (No. 127)
Unique sites:
1 K 0.0000 0.0000 0.0000  4 Bi 3.77
2 Rb 0.1703 0.3297 0.5000  6 Bi 3.89-3.99
3 Bi 0.1140 0.6140 0.0000  1 Bi 3.02

Computed properties:
Relative energy among the computed polymorphs in meV per atom: 5

---

Entry from Alexandria via LeMat-Bulk: a relaxed structure of KRbBi (PBE).

a b c (Å): 6.0689 6.0689 3.7312
angles (deg): 90.00 90.00 120.00
With the nearest neighbours (Å) after each atom.
Space group P3m1 (No. 156)
Unique sites:
1 K 0.0000 0.0000 0.0000  3 Rb 3.51, 2 K 3.73
2 Rb 0.3333 0.6667 0.0362  3 K 3.51, 2 Rb 3.73
3 Bi 0.6667 0.3333 0.5222  2 Bi 3.73, 6 K 3.93-4.01, 6 Rb 3.95-3.99

Computed properties:
Relative energy among the computed polymorphs in meV per atom: 61

---

Entry from Alexandria via LeMat-Bulk: a relaxed structure of K4Rb2Bi (PBE).

a b c (Å): 6.8939 6.8939 22.2500
angles (deg): 90.00 90.00 90.00
With the nearest neighbours (Å) after each atom.
Space group I4/mmm (No. 139)
Unique sites:
1 K 0.0000 0.0000 0.1559  1 Bi 3.47
2 K 0.0000 0.5000 0.0000  2 Bi 3.45
3 Rb 0.0000 0.0000 0.3531  9 K 4.39-4.88
4 Bi 0.0000 0.0000 0.0000  6 K 3.45-3.47

---

Entry from Alexandria via LeMat-Bulk: a relaxed structure of KRbBi (PBE).

a b c (Å): 4.7405 4.7405 12.0056
angles (deg): 90.00 90.00 90.00
With the nearest neighbours (Å) after each atom.
Space group I4mm (No. 107)
Unique sites:
1 K 0.0000 0.0000 0.0000  1 Rb 3.65, 4 Bi 3.76
2 Rb 0.0000 0.0000 0.3041  1 K 3.65, 5 Bi 3.87-4.06
3 Bi 0.0000 0.0000 0.6423  4 K 3.76, 5 Rb 3.87-4.06

Computed properties:
Relative energy among the computed polymorphs in meV per atom: 107

---

Entry from Alexandria via LeMat-Bulk: a relaxed structure of K2Rb2Bi3 (PBE).

a b c (Å): 15.4997 5.6076 8.5869
angles (deg): 90.00 118.02 90.00
With the nearest neighbours (Å) after each atom.
Space group C2/m (No. 12)
Unique sites:
1 K 0.1592 0.0000 0.2773  5 Bi 3.61-3.76, 1 Rb 4.03
2 Rb 0.1146 0.0000 0.7759  6 Bi 3.84-4.23, 2 K 4.03-4.05
3 Bi 0.0000 0.5000 0.0000  2 Bi 3.34
4 Bi 0.0747 0.5000 0.4338  2 Bi 3.02-3.34

---

Entry from Alexandria via LeMat-Bulk: a relaxed structure of KRbBi (PBE).

a b c (Å): 6.3145 6.3145 24.7643
angles (deg): 90.00 90.00 120.00
With the nearest neighbours (Å) after each atom.
Space group R-3m (No. 166, hexagonal axes)
Unique sites:
1 K 0.0000 0.0000 0.2073  4 Bi 3.54-3.95, 1 Rb 3.93
2 Rb 0.0000 0.0000 0.3660  3 Bi 3.73, 1 K 3.93, 3 Rb 3.99
3 Bi 0.0000 0.0000 0.0642  1 Bi 3.18, 1 K 3.54

Computed properties:
Relative energy among the computed polymorphs in meV per atom: 13

---

Entry from Alexandria via LeMat-Bulk: a relaxed structure of KRbBi2 (PBE).

a b c (Å): 7.9360 7.3937 10.9858
angles (deg): 90.00 90.00 90.00
With the nearest neighbours (Å) after each atom.
Space group Pnma (No. 62)
Unique sites:
1 K 0.0015 0.2500 0.2250  2 Rb 3.70, 8 Bi 3.73-4.05, 2 K 4.01
2 Rb 0.0071 0.2500 0.7822  2 K 3.70, 8 Bi 3.81-4.04, 2 Rb 4.03
3 Bi 0.1931 0.0314 0.4979  2 Bi 3.10-3.23

Computed properties:
Relative energy among the computed polymorphs in meV per atom: 8

---

Entry from Alexandria via LeMat-Bulk: a relaxed structure of KRbBi (PBE).

a b c (Å): 11.3371 6.0012 8.9898
angles (deg): 90.00 110.23 90.00
With the nearest neighbours (Å) after each atom.
Space group C2/m (No. 12)
Unique sites:
1 K 0.1132 0.0000 0.3998  1 K 3.61, 5 Bi 3.68-4.00
2 Rb 0.1896 0.5000 0.1289  4 Bi 3.79-4.06, 3 K 4.05-4.14, 1 Rb 4.12
3 Bi 0.0870 0.5000 0.6809  1 Bi 3.17

Computed properties:
Relative energy among the computed polymorphs in meV per atom: 0

---

Entry from Alexandria via LeMat-Bulk: a relaxed structure of KRbBi (PBE).

a b c (Å): 6.3992 6.8440 6.9743
angles (deg): 98.04 102.68 116.80
With the nearest neighbours (Å) after each atom.
Space group P-1 (No. 2)
Unique sites:
1 K 0.1338 0.3986 0.2185  3 Rb 3.51-3.84, 3 Bi 3.74-3.88, 1 K 3.90
2 Rb 0.4907 0.1303 0.2762  3 K 3.51-3.84, 1 Rb 3.81, 2 Bi 3.86-3.87
3 Bi 0.1686 0.2150 0.6989  1 Bi 3.22

Computed properties:
Relative energy among the computed polymorphs in meV per atom: 26

---

Entry from Alexandria via LeMat-Bulk: a relaxed structure of K2RbBi2 (PBE).

a b c (Å): 12.8798 5.3671 7.1159
angles (deg): 90.00 95.63 90.00
With the nearest neighbours (Å) after each atom.
Space group C2/m (No. 12)
Unique sites:
1 K 0.1467 0.0000 0.3643  4 Bi 3.58-3.79
2 Rb 0.0000 0.5000 0.0000  6 Bi 3.74-3.96, 4 K 4.07
3 Bi 0.2106 0.0000 0.8863  2 Bi 3.24, 1 K 3.58

Computed properties:
Relative energy among the computed polymorphs in meV per atom: 28

---

Entry from Alexandria via LeMat-Bulk: a relaxed structure of KRbBi2 (PBE).

a b c (Å): 4.8768 7.0940 10.6483
angles (deg): 90.00 90.00 90.00
With the nearest neighbours (Å) after each atom.
Space group Pmc2_1 (No. 26)
Unique sites:
1 K 0.0000 0.1333 0.0000  7 Bi 3.83-3.98
2 Rb 0.5000 0.3682 0.6216  7 Bi 3.82-4.08
3 Bi 0.0000 0.3632 0.3408  2 Bi 3.07
4 Bi 0.5000 0.1177 0.2769  2 Bi 3.07

Computed properties:
Relative energy among the computed polymorphs in meV per atom: 0

---

Entry from Alexandria via LeMat-Bulk: a relaxed structure of KRbBi (PBE).

a b c (Å): 11.8730 6.2811 7.5810
angles (deg): 90.00 106.78 90.00
With the nearest neighbours (Å) after each atom.
Space group Cm (No. 8)
Unique sites:
1 K 0.0000 0.0000 0.0000  3 Rb 3.52-3.89, 4 Bi 3.57-3.62, 1 K 3.81
2 K 0.1659 0.5000 0.8024  5 Bi 3.73-4.06, 1 K 3.81
3 Rb 0.2802 0.0000 0.3250  1 K 3.52, 4 Bi 3.69-3.93, 2 Rb 3.83
4 Rb 0.4642 0.5000 0.4945  2 K 3.73-3.89, 2 Rb 3.83, 2 Bi 4.07
5 Bi 0.0720 0.5000 0.2429  1 Bi 3.28, 2 K 3.62
6 Bi 0.3618 0.0000 0.8506  1 Bi 3.28, 2 K 3.57

Computed properties:
Relative energy among the computed polymorphs in meV per atom: 40

---

Entry from Alexandria via LeMat-Bulk: a relaxed structure of KRb5Bi2 (PBE).

a b c (Å): 6.6658 6.6658 23.7669
angles (deg): 90.00 90.00 120.00
With the nearest neighbours (Å) after each atom.
Space group P6_3/mmc (No. 194)
Unique sites:
1 K 0.3333 0.6667 0.2500  2 Bi 3.34
2 Rb 0.0000 0.0000 0.1184  3 Bi 3.85, 3 Rb 4.16
3 Rb 0.3333 0.6667 0.5515  4 Bi 3.82-4.09, 3 Rb 4.16
4 Rb 0.3333 0.6667 0.7500  3 K 3.85
5 Bi 0.3333 0.6667 0.1093  1 K 3.34

---

Entry from Alexandria via LeMat-Bulk: a relaxed structure of KRbBi (PBE).

a b c (Å): 11.9163 5.6720 8.1924
angles (deg): 90.00 108.29 90.00
With the nearest neighbours (Å) after each atom.
Space group C2/m (No. 12)
Unique sites:
1 K 0.1559 0.0000 0.0746  1 K 3.53, 5 Bi 3.72-3.88
2 Rb 0.1566 0.0000 0.5908  1 Rb 3.56, 1 Bi 3.93, 1 K 3.97
3 Bi 0.0022 0.5000 0.8008  1 Bi 3.28

Computed properties:
Relative energy among the computed polymorphs in meV per atom: 25

---

Entry from Alexandria via LeMat-Bulk: a relaxed structure of K2Rb2Bi (PBE).

a b c (Å): 9.3916 9.3916 6.7766
angles (deg): 90.00 90.00 90.00
With the nearest neighbours (Å) after each atom.
Space group P4/mbm (No. 127)
Unique sites:
1 K 0.1998 0.3002 0.0000  2 Rb 3.98
2 Rb 0.1435 0.6435 0.5000  2 Bi 3.61, 1 Rb 3.81, 2 K 3.98
3 Bi 0.0000 0.0000 0.5000  4 Rb 3.61

Computed properties:
Relative energy among the computed polymorphs in meV per atom: 164

---

Entry from Alexandria via LeMat-Bulk: a relaxed structure of K2RbBi2 (PBE).

a b c (Å): 5.6765 5.6765 15.0315
angles (deg): 90.00 90.00 90.00
With the nearest neighbours (Å) after each atom.
Space group I4/mmm (No. 139)
Unique sites:
1 K 0.0000 0.5000 0.2500  4 Bi 3.65, 4 K 4.01
2 Rb 0.0000 0.0000 0.0000  8 Bi 4.27, 8 K 4.71
3 Bi 0.0000 0.0000 0.4022  1 Bi 2.94

Computed properties:
Relative energy among the computed polymorphs in meV per atom: 66

---

Entry from Alexandria via LeMat-Bulk: a relaxed structure of K7Rb3Bi4 (PBE).

a b c (Å): 19.3190 6.2572 14.3813
angles (deg): 90.00 128.64 90.00
With the nearest neighbours (Å) after each atom.
Space group C2/m (No. 12)
Unique sites:
1 K 0.0000 0.0000 0.0000  4 Bi 3.76-3.91
2 K 0.0480 0.5000 0.8038  3 Bi 3.66-3.71, 3 K 3.71-3.90
3 K 0.1755 0.5000 0.5196  4 Bi 3.59-3.87, 1 K 3.90, 3 Rb 3.90-4.02
4 K 0.1765 0.0000 0.8786  4 Bi 3.64-3.94, 2 K 3.71
5 Rb 0.0000 0.0000 0.5000  2 Bi 3.86, 2 K 4.25
6 Rb 0.1924 0.5000 0.2628  4 Bi 3.79-4.10, 5 K 3.90-4.12
7 Bi 0.0839 0.0000 0.3167  7 K 3.67-3.94, 3 Rb 3.86-4.10
8 Bi 0.2429 0.5000 0.8154  6 K 3.59-3.91, 2 Rb 3.79

---

no.,formation energy from the elements (eV per atom)
1,-0.03
2,-0.28
3,-0.33
4,-0.29
5,-0.28
6,-0.10
7,-0.23
8,-0.31
9,-0.33
10,-0.32
11,-0.34
12,-0.32
13,-0.29
14,-0.33
15,-0.30
16,-0.25
17,-0.32
18,-0.06
19,-0.25
20,-0.29